V2TcRuF | PBE+U | relaxed

a = 4.6654 Å, b = 3.8401 Å, c = 4.6654 Å
α = 90.00°, β = 90.00°, γ = 90.00°
Last column: nearest neighbours and their distance in Å.
Sites, in units of the cell vectors:
Ru 0.5000 0.5000 0.5000  8 V 3.02, 4 F 3.30
F 0.0000 0.5000 0.0000  2 Tc 1.92
Tc 0.0000 0.0000 0.0000  2 F 1.92
V 0.0000 0.0000 0.5000  2 Tc 2.33
V 0.5000 0.0000 0.0000  2 Tc 2.33

Calculated values
ρ ... 6.36 g cm⁻³
DFT total energy ... -29.7 eV/cell